No. 1
Li2ZnCl4 | Alexandria via LeMat-Bulk | PBE | relaxed; volume = 283.6 Å³/cell; calculated total energy = -0.243 Ry per atom; total magnetic moment = 0.00 μB per atom; density of states at the Fermi level = 0.0000 states/eV per atom; excess energy over the best structure of this formula in the dataset = 19 meV/atom
1.0
-3.864 -0.046 6.281
2.743 -3.309 5.993
2.248 4.044 5.742
Cl Li Zn
8 4 2
Direct
0.759 0.747 0.747
0.247 0.259 0.747
0.247 0.747 0.747
0.247 0.747 0.259
0.753 0.741 0.253
0.241 0.253 0.253
0.753 0.253 0.253
0.753 0.253 0.741
0.500 0.500 0.500
0.000 0.000 0.500
0.000 0.500 0.500
0.000 0.500 0.000
0.375 0.875 0.875
0.625 0.125 0.125

---

No. 2
FeSbTe2Se | Alexandria via LeMat-Bulk | PBE | relaxed; volume = 158.7 Å³/cell; calculated total energy = -0.253 Ry per atom; total magnetic moment = 0.73 μB per atom; density of states at the Fermi level = 1.4012 states/eV per atom; excess energy over the best structure of this formula in the dataset = 622 meV/atom
1.0
5.396 0.000 0.000
0.000 5.396 0.000
0.000 0.000 5.451
Sb Te Fe Se
1 2 1 1
Direct
0.000 0.000 0.500
0.000 0.500 0.000
0.500 0.000 0.000
0.500 0.500 0.500
0.000 0.000 0.000

---

No. 3
Li3Sn2Pb3 | Alexandria via LeMat-Bulk | PBE | relaxed; energy of formation from the pure elements = -0.17 eV/atom; volume = 197.2 Å³/cell; calculated total energy = -0.241 Ry per atom; total magnetic moment = 0.00 μB per atom; density of states at the Fermi level = 0.3414 states/eV per atom
1.0
-0.530 -2.715 -3.110
3.884 -2.452 1.479
-7.368 -2.940 6.605
Li Sn Pb
3 2 3
Direct
0.127 0.127 0.255
0.000 0.500 0.000
0.873 0.873 0.745
0.749 0.249 0.498
0.251 0.751 0.502
0.619 0.619 0.238
0.381 0.381 0.762
0.500 0.000 0.000

---

No. 4
BaNaSr2Se | Alexandria via LeMat-Bulk | PBE | relaxed; volume = 243.9 Å³/cell; calculated total energy = -0.198 Ry per atom; total magnetic moment = 0.00 μB per atom; density of states at the Fermi level = 1.1141 states/eV per atom
1.0
6.099 0.000 0.000
0.000 6.099 0.000
0.000 0.000 6.557
Sr Ba Se Na
2 1 1 1
Direct
0.000 0.500 0.000
0.500 0.000 0.000
0.000 0.000 0.500
0.000 0.000 0.000
0.500 0.500 0.500

---

No. 5
Li3Au5 | Alexandria via LeMat-Bulk | PBE | relaxed; energy of formation from the pure elements = -0.39 eV/atom; volume = 264.1 Å³/cell; calculated total energy = -0.232 Ry per atom; total magnetic moment = 0.00 μB per atom; density of states at the Fermi level = 0.2325 states/eV per atom; excess energy over the best structure of this formula in the dataset = 60 meV/atom
1.0
7.444 0.146 -0.017
-5.574 4.379 -0.331
-0.934 -2.728 8.115
Au Li
10 6
Direct
0.312 0.776 0.578
0.687 0.224 0.422
0.847 0.127 0.852
0.152 0.873 0.148
0.668 0.561 0.282
0.331 0.439 0.718
0.635 0.344 0.842
0.364 0.656 0.158
0.077 0.234 0.340
0.922 0.766 0.660
0.749 0.803 0.030
0.250 0.197 0.970
0.292 0.110 0.489
0.708 0.890 0.511
0.217 0.717 0.863
0.783 0.283 0.137

---

No. 6
Mn2CdPb | Alexandria via LeMat-Bulk | PBE | relaxed; energy of formation from the pure elements = 0.62 eV/atom; volume = 79.8 Å³/cell; calculated total energy = -0.377 Ry per atom; total magnetic moment = 1.83 μB per atom; density of states at the Fermi level = 1.4822 states/eV per atom
1.0
4.832 0.000 0.000
2.416 4.185 0.000
2.416 1.395 3.946
Cd Mn Pb
1 2 1
Direct
0.500 0.500 0.500
0.000 0.000 0.000
0.250 0.250 0.250
0.750 0.750 0.750

---

No. 7
NbAgPt6 | Alexandria via LeMat-Bulk | PBE | relaxed; energy of formation from the pure elements = -0.39 eV/atom; volume = 128.0 Å³/cell; calculated total energy = -0.480 Ry per atom; total magnetic moment = 0.00 μB per atom; density of states at the Fermi level = 1.0156 states/eV per atom
1.0
-3.500 1.009 -1.681
-1.854 -0.585 3.509
1.264 7.611 1.937
Nb Ag Pt
1 1 6
Direct
0.000 0.000 0.500
0.000 0.000 0.000
0.500 0.500 0.000
0.500 0.500 0.500
0.500 0.000 0.258
0.500 0.000 0.742
0.000 0.500 0.258
0.000 0.500 0.742

---

No. 8
Ta2Mn | Alexandria via LeMat-Bulk | PBE | relaxed; energy of formation from the pure elements = 0.67 eV/atom; volume = 110.7 Å³/cell; calculated total energy = -0.756 Ry per atom; total magnetic moment = 0.00 μB per atom; density of states at the Fermi level = 0.6387 states/eV per atom
1.0
2.962 0.000 0.000
-0.001 6.114 0.000
0.000 0.000 6.114
Ta Mn
4 2
Direct
0.500 0.273 0.727
0.000 0.773 0.773
0.000 0.227 0.227
0.500 0.727 0.273
0.000 0.500 0.500
0.500 0.000 0.000

---

No. 9
Pm2CdSn4Pd3 | Alexandria via LeMat-Bulk | PBE | relaxed; energy of formation from the pure elements = -0.66 eV/atom; volume = 231.4 Å³/cell; calculated total energy = -0.357 Ry per atom; total magnetic moment = 0.00 μB per atom; density of states at the Fermi level = 0.3692 states/eV per atom
1.0
-4.246 0.863 -1.075
0.919 -0.824 -4.290
-2.675 -11.188 1.577
Pm Cd Sn Pd
2 1 4 3
Direct
0.500 0.000 0.249
0.000 0.500 0.751
0.500 0.500 0.500
0.500 0.500 0.000
0.000 0.000 0.000
0.500 0.000 0.645
0.000 0.500 0.355
0.000 0.000 0.500
0.500 0.000 0.869
0.000 0.500 0.131

---

No. 10
Cs2CuTe4 | Alexandria via LeMat-Bulk | PBE | relaxed; volume = 286.5 Å³/cell; calculated total energy = -0.215 Ry per atom; total magnetic moment = 0.00 μB per atom; density of states at the Fermi level = 1.0196 states/eV per atom
1.0
5.566 0.000 0.000
0.000 5.566 0.000
2.783 2.783 9.248
Cs Te Cu
2 4 1
Direct
0.648 0.648 0.703
0.352 0.352 0.297
0.865 0.865 0.269
0.135 0.135 0.731
0.000 0.500 0.000
0.500 0.000 0.000
0.000 0.000 0.000

---

No. 11
CaAl2O | Alexandria via LeMat-Bulk | PBE | relaxed; volume = 163.6 Å³/cell; calculated total energy = -0.317 Ry per atom; total magnetic moment = 0.00 μB per atom; density of states at the Fermi level = 0.7275 states/eV per atom
1.0
-5.504 -2.545 -1.168
1.715 -1.030 -5.843
-0.357 -5.630 -2.377
Ca Al O
2 4 2
Direct
0.000 0.000 0.000
0.750 0.250 0.500
0.451 0.125 0.250
0.299 0.625 0.250
0.375 0.549 0.750
0.875 0.701 0.750
0.500 0.500 0.000
0.250 0.750 0.500

---

No. 12
PuTe2P | Alexandria via LeMat-Bulk | PBE | relaxed; volume = 123.5 Å³/cell; calculated total energy = -0.463 Ry per atom; total magnetic moment = 1.64 μB per atom; density of states at the Fermi level = 2.6826 states/eV per atom
1.0
-2.089 -1.521 2.921
-0.583 -3.852 0.181
6.925 -2.734 6.131
P Te Pu
1 2 1
Direct
0.500 0.500 0.500
0.109 0.109 0.672
0.891 0.891 0.328
0.000 0.000 0.000